1.
Below is crystalline SbP2SF at its relaxed geometry, with properties calculated at the PBE level.

- total energy (Ry/atom) = -0.2690
- symmetry = P4/mmm (123)
- total magnetic moment (μB per cell) = 0.00

Lattice parameters (Å, degrees): 4.0782 4.0782 5.7137 90.00 90.00 90.00
Last column: nearest neighbours and their distance in Å.
Positions (direct):
P (0.5000, 0.0000, 0.0000)  2 F 2.04
P (0.0000, 0.5000, 0.0000)  2 F 2.04
F (0.0000, 0.0000, 0.0000)  4 P 2.04
S (0.0000, 0.0000, 0.5000)  2 F 2.86, 4 Sb 2.88
Sb (0.5000, 0.5000, 0.5000)  4 S 2.88



2.
Below is crystalline CdSeN2 at its relaxed geometry, with properties calculated at the PBE level.

- total energy (Ry/atom) = -0.3057
- symmetry = R-3m (166)
- total magnetic moment (μB per cell) = 0.00

Lattice parameters (Å, degrees): 6.3229 6.3229 6.3229 32.66 32.66 32.66
Last column: nearest neighbours and their distance in Å.
Positions (direct):
Se (0.0000, 0.0000, 0.0000)  2 N 1.81
Cd (0.5000, 0.5000, 0.5000)  6 N 2.37
N (0.1011, 0.1011, 0.1011)  1 Se 1.81
N (0.8989, 0.8989, 0.8989)  1 Se 1.81



3.
Below is crystalline Ge3IrOs at its relaxed geometry, with properties calculated at the PBE level.

- total energy (Ry/atom) = -0.4994
- symmetry = C2/m (12)
- total magnetic moment (μB per cell) = 0.00
- formation energy (meV/atom) = -6

Lattice parameters (Å, degrees): 3.1040 6.8512 8.1759 109.15 100.94 90.00
Last column: nearest neighbours and their distance in Å.
Positions (direct):
Ge (0.4197, 0.9785, 0.8394)  2 Ir 2.48, 1 Ge 2.49, 1 Os 2.51
Ge (0.0475, 0.3835, 0.0951)  2 Os 2.48, 2 Ir 2.55-2.60, 1 Ge 2.55
Ge (0.9525, 0.6165, 0.9049)  2 Os 2.48, 2 Ir 2.55-2.60, 1 Ge 2.55
Ge (0.2397, 0.1869, 0.4795)  3 Os 2.63-2.71, 3 Ir 2.69-2.78, 2 Ge 2.88
Ge (0.5803, 0.0215, 0.1606)  2 Ir 2.48, 1 Ge 2.49, 1 Os 2.51
Ge (0.7603, 0.8131, 0.5205)  3 Os 2.63-2.71, 3 Ir 2.69-2.78, 2 Ge 2.88
Os (0.6700, 0.4006, 0.3400)  6 Ge 2.48-2.71
Os (0.3300, 0.5994, 0.6600)  6 Ge 2.48-2.71
Ir (0.8800, 0.2150, 0.7599)  6 Ge 2.48-2.69
Ir (0.1200, 0.7850, 0.2401)  6 Ge 2.48-2.69



4.
Below is crystalline NpHgIN at its relaxed geometry, with properties calculated at the PBE level.

- total energy (Ry/atom) = -0.4869
- symmetry = P4/nmm (129)
- total magnetic moment (μB per cell) = 6.20

Lattice parameters (Å, degrees): 3.9968 3.9968 13.2392 90.00 90.00 90.00
Last column: nearest neighbours and their distance in Å.
Positions (direct):
Np (0.2500, 0.2500, 0.0809)  4 N 2.27
Np (0.7500, 0.7500, 0.9191)  4 N 2.27
I (0.2500, 0.2500, 0.7690)  4 Np 3.45, 4 N 3.65
I (0.7500, 0.7500, 0.2310)  4 Np 3.45, 4 N 3.65
Hg (0.2500, 0.7500, 0.5000)  4 Hg 2.83
Hg (0.7500, 0.2500, 0.5000)  4 Hg 2.83
N (0.7500, 0.2500, 0.0000)  4 Np 2.27
N (0.2500, 0.7500, 0.0000)  4 Np 2.27



5.
Below is crystalline LaSc2Co2 at its relaxed geometry, with properties calculated at the PBE level.

- total energy (Ry/atom) = -0.4809
- symmetry = I4/mmm (139)
- total magnetic moment (μB per cell) = 0.00
- formation energy (meV/atom) = -183

Lattice parameters (Å, degrees): 4.2632 4.2632 6.3464 70.37 70.37 90.00
Last column: nearest neighbours and their distance in Å.
Positions (direct):
Co (0.6031, 0.6031, 0.7938)  1 Co 2.30
Co (0.3969, 0.3969, 0.2062)  1 Co 2.30
Sc (0.7500, 0.2500, 0.5000)  4 Co 2.69
Sc (0.2500, 0.7500, 0.5000)  4 Co 2.69
La (0.0000, 0.0000, 0.0000)  8 Co 3.23, 8 Sc 3.51



6.
Below is crystalline PmCu2GePd4 at its relaxed geometry, with properties calculated at the PBE level.

- total energy (Ry/atom) = -0.3836
- symmetry = R-3m (166)
- total magnetic moment (μB per cell) = 0.00
- formation energy (meV/atom) = -427

Lattice parameters (Å, degrees): 4.4723 4.4723 8.0430 73.86 73.86 60.00
Last column: nearest neighbours and their distance in Å.
Positions (direct):
Pm (0.0000, 0.0000, 0.0000)  8 Pd 2.93-3.03, 6 Cu 3.17
Pd (0.3940, 0.3940, 0.8180)  1 Ge 2.42, 3 Cu 2.62
Pd (0.6060, 0.6060, 0.1820)  1 Ge 2.42, 3 Cu 2.62
Pd (0.8674, 0.8674, 0.3979)  3 Ge 2.70, 4 Cu 2.75-2.85, 3 Pd 3.01
Pd (0.1326, 0.1326, 0.6021)  3 Ge 2.70, 4 Cu 2.75-2.85, 3 Pd 3.01
Ge (0.5000, 0.5000, 0.5000)  8 Pd 2.42-2.70
Cu (0.7470, 0.7470, 0.7590)  7 Pd 2.62-2.85
Cu (0.2530, 0.2530, 0.2410)  7 Pd 2.62-2.85